Record 1
Computed, not measured: crystalline BaMgTeN2 at its relaxed geometry at the GGA-PBE level of DFT.

Structure (extended XYZ):
```
5
Lattice="4.608 0.000 0.000 0.000 4.608 0.000 0.000 0.000 7.237" Properties=species:S:1:pos:R:3 pbc="T T T"
Ba 0.000 0.000 0.000
Mg 2.304 2.304 3.618
Te 0.000 0.000 3.618
N 0.000 2.304 0.000
N 2.304 0.000 0.000
```

Computed properties:
Density of states at the Fermi level in states/eV/cell: 3.4
SG: P4/mmm (123)
Total energy in eV/cell: -17.2
ΔE_f (raw) in eV per atom: 1.22

=====

Record 2
Computed, not measured: crystalline Ba2MgTlN at its relaxed geometry at the GGA-PBE level of DFT.

Structure (extended XYZ):
```
5
Lattice="5.964 0.000 0.000 0.000 5.964 0.000 0.000 0.000 4.159" Properties=species:S:1:pos:R:3 pbc="T T T"
Ba 0.000 2.982 0.000
Ba 2.982 0.000 0.000
Mg 0.000 0.000 2.079
Tl 2.982 2.982 2.079
N 0.000 0.000 0.000
```

Computed properties:
Density of states at the Fermi level in states/eV/cell: 1.1
SG: P4/mmm (123)
Total energy in eV/cell: -17.9
ΔE_f (raw) in eV per atom: -0.36

=====

Record 3
Computed, not measured: crystalline BaMgUN3 at its relaxed geometry at the GGA-PBE level of DFT.

Structure (extended XYZ):
```
12
Lattice="7.494 0.000 0.000 0.000 3.727 0.000 -2.364 0.000 7.826" Properties=species:S:1:pos:R:3 pbc="T T T"
Ba 1.029 0.932 1.710
Ba 4.101 2.795 6.117
Mg -0.779 0.932 4.733
Mg 5.909 2.795 3.094
U 0.419 2.795 6.685
U 4.711 0.932 1.142
N -0.974 0.932 6.802
N 0.036 2.795 4.492
N 3.172 2.795 0.961
N 1.958 0.932 6.865
N 5.094 0.932 3.334
N 6.105 2.795 1.024
```

Computed properties:
Density of states at the Fermi level in states/eV/cell: 5.2
SG: P2_1/m (11)
Total energy in eV/cell: -90.9
ΔE_f (raw) in eV per atom: -0.94

=====

Record 4
Computed, not measured: crystalline BaMg2VN4 at its relaxed geometry at the GGA-PBE level of DFT.

Structure (extended XYZ):
```
16
Lattice="7.432 0.000 0.000 0.000 5.783 0.000 0.000 0.000 5.665" Properties=species:S:1:pos:R:3 pbc="T T T"
Ba 0.000 1.009 0.000
Ba 3.716 4.774 2.833
Mg 1.810 1.918 2.875
Mg 1.906 3.864 0.042
Mg 5.526 3.864 0.042
Mg 5.622 1.918 2.875
V 0.000 4.613 2.929
V 3.716 1.169 0.096
N 0.000 0.680 2.765
N 0.000 4.246 4.707
N 1.386 3.813 2.072
N 2.330 1.970 4.904
N 3.716 1.537 1.875
N 3.716 5.103 5.597
N 5.101 1.970 4.904
N 6.046 3.813 2.072
```

Computed properties:
Density of states at the Fermi level in states/eV/cell: 7.1
SG: Pmn2_1 (31)
Total energy in eV/cell: -106.3
ΔE_f (raw) in eV per atom: -0.70

=====

Record 5
Computed, not measured: crystalline Ba2MgVN4 at its relaxed geometry at the GGA-PBE level of DFT.

Structure (extended XYZ):
```
16
Lattice="6.036 0.000 0.000 0.000 7.348 0.000 0.000 0.000 6.390" Properties=species:S:1:pos:R:3 pbc="T T T"
Ba 1.509 0.010 1.585
Ba 1.509 3.664 1.585
Ba 4.527 3.684 4.804
Ba 4.527 7.338 4.804
Mg 1.509 1.837 5.135
Mg 4.527 5.511 1.255
V 1.509 5.511 5.209
V 4.527 1.837 1.181
N 0.072 5.511 6.301
N 1.509 3.878 4.329
N 1.509 7.143 4.329
N 2.946 5.511 6.301
N 3.090 1.837 0.089
N 4.527 0.205 2.061
N 4.527 3.469 2.061
N 5.964 1.837 0.089
```

Computed properties:
Density of states at the Fermi level in states/eV/cell: 7.5
SG: Pmmn (59)
Total energy in eV/cell: -107.8
ΔE_f (raw) in eV per atom: -0.76

=====

Record 6
Computed, not measured: crystalline BaMg2WN at its relaxed geometry at the GGA-PBE level of DFT.

Structure (extended XYZ):
```
5
Lattice="4.422 0.000 0.000 0.000 4.422 0.000 0.000 0.000 5.611" Properties=species:S:1:pos:R:3 pbc="T T T"
Ba 0.000 0.000 0.000
Mg 0.000 2.211 2.806
Mg 2.211 0.000 2.806
W 2.211 2.211 0.000
N 0.000 0.000 2.806
```

Computed properties:
Density of states at the Fermi level in states/eV/cell: 3.7
SG: P4/mmm (123)
Total energy in eV/cell: -22.3
ΔE_f (raw) in eV per atom: 0.82

=====

Question: The highest total energy belongs to which entry?
Answer: BaMgTeN2

=====

Question: The lowest density of states at the Fermi level belongs to which entry?
Answer: Ba2MgTlN